Computed, not measured: a relaxed TaTl2Hg crystal at the PBE level of DFT.

The space group is R3m (No. 160, hexagonal axes) and the conventional cell measures 3.2524, 3.2524 and 30.7647 Å, with angles of 90.00, 90.00 and 120.00 degrees. Symmetry generates all atoms from Ta at (0.0000, 0.0000, 0.0000), Tl at (0.0000, 0.0000, 0.2542), Tl at (0.0000, 0.0000, 0.4953) and Hg at (0.0000, 0.0000, 0.7410).

The calculation puts the raw total energy at -15.2 eV/f.u. The volume comes out at 93.9 Å³/f.u.

---

Computed, not measured: a relaxed Ta4TlHg crystal at the PBE level of DFT.

The space group is F-43m (No. 216) and the conventional cell measures 7.900, 7.900 and 7.900 Å, with angles of 90.00, 90.00 and 90.00 degrees. Symmetry generates all atoms from Ta at (0.125, 0.125, 0.125), Tl at (0.250, 0.250, 0.750) and Hg at (0.000, 0.000, 0.500).

The calculation puts the raw total energy at -46.5 eV/f.u. The volume comes out at 123.2 Å³/f.u.

---

Computed, not measured: a relaxed TaTl3Hg crystal at the PBE level of DFT.

The space group is Pm-3m (No. 221) and the conventional cell measures 5.607, 5.607 and 5.607 Å, with angles of 90.00, 90.00 and 90.00 degrees. Symmetry generates all atoms from Ta at (0.000, 0.000, 0.000), Tl at (0.000, 0.500, 0.500) and Hg at (0.500, 0.500, 0.500).

The calculation puts the raw total energy at -12.2 eV/f.u. The volume comes out at 176.3 Å³/f.u.

---

Computed, not measured: a relaxed Ta3TlHg crystal at the PBE level of DFT.

The space group is Pm-3m (No. 221) and the conventional cell measures 5.045, 5.045 and 5.045 Å, with angles of 90.00, 90.00 and 90.00 degrees. Symmetry generates all atoms from Ta at (0.000, 0.000, 0.500), Tl at (0.500, 0.500, 0.500) and Hg at (0.000, 0.000, 0.000).

The calculation puts the raw total energy at -28.0 eV/f.u. The volume comes out at 128.4 Å³/f.u.

---

Computed, not measured: a relaxed TaTl2Hg crystal at the PBE level of DFT.

The space group is C2/m (No. 12) and the conventional cell measures 6.412, 10.307 and 3.155 Å, with angles of 90.00, 118.11 and 90.00 degrees. Symmetry generates all atoms from Ta at (0.000, 0.000, 0.000), Tl at (0.250, 0.250, 0.500) and Hg at (0.000, 0.500, 0.000).

The calculation puts the raw total energy at -14.8 eV/f.u. The volume comes out at 92.0 Å³/f.u.

---

Computed, not measured: a relaxed TaTl2Hg crystal at the PBE level of DFT.

The space group is Pmm2 (No. 25) and the conventional cell measures 3.260, 4.405 and 6.455 Å, with angles of 90.00, 90.00 and 90.00 degrees. Symmetry generates all atoms from Ta at (0.000, 0.000, 0.000), Tl at (0.000, 0.000, 0.518), Tl at (0.500, 0.500, 0.235) and Hg at (0.500, 0.500, 0.781).

The calculation puts the raw total energy at -14.6 eV/f.u. The volume comes out at 92.7 Å³/f.u.

---

Computed, not measured: a relaxed TaTl2Hg crystal at the PBE level of DFT.

The space group is Cmmm (No. 65) and the conventional cell measures 3.301, 5.481 and 10.671 Å, with angles of 90.00, 90.00 and 90.00 degrees. Symmetry generates all atoms from Ta at (0.000, 0.000, 0.000), Tl at (0.000, 0.500, 0.237) and Hg at (0.000, 0.000, 0.500).

The calculation puts the raw total energy at -14.8 eV/f.u. The volume comes out at 96.5 Å³/f.u.

---

Computed, not measured: a relaxed TaTl2Hg crystal at the PBE level of DFT.

The space group is I-42d (No. 122) and the conventional cell measures 8.016, 8.016 and 6.123 Å, with angles of 90.00, 90.00 and 90.00 degrees. Symmetry generates all atoms from Ta at (0.000, 0.000, 0.000), Tl at (0.244, 0.250, 0.125) and Hg at (0.000, 0.000, 0.500).

The calculation puts the raw total energy at -13.5 eV/f.u. The volume comes out at 98.4 Å³/f.u.

---

Computed, not measured: a relaxed TaTl2Hg crystal at the PBE level of DFT.

The space group is Cmm2 (No. 35) and the conventional cell measures 4.356, 4.422 and 10.019 Å, with angles of 90.00, 90.00 and 90.00 degrees. Symmetry generates all atoms from Ta at (0.000, 0.000, 0.000), Tl at (0.000, 0.000, 0.521), Tl at (0.000, 0.500, 0.228) and Hg at (0.000, 0.500, 0.797).

The calculation puts the raw total energy at -15.2 eV/f.u. The volume comes out at 96.5 Å³/f.u.

---

Computed, not measured: a relaxed TaTl2Hg crystal at the PBE level of DFT.

The space group is P4/mmm (No. 123) and the conventional cell measures 3.060, 3.060 and 10.444 Å, with angles of 90.00, 90.00 and 90.00 degrees. Symmetry generates all atoms from Ta at (0.000, 0.000, 0.000), Tl at (0.500, 0.500, 0.222) and Hg at (0.000, 0.000, 0.500).

The calculation puts the raw total energy at -14.8 eV/f.u. The volume comes out at 97.8 Å³/f.u.

---

Computed, not measured: a relaxed TaTl2Hg crystal at the PBE level of DFT.

The space group is I-4m2 (No. 119) and the conventional cell measures 4.219, 4.219 and 10.087 Å, with angles of 90.00, 90.00 and 90.00 degrees. Symmetry generates all atoms from Ta at (0.000, 0.000, 0.000), Tl at (0.000, 0.000, 0.500), Tl at (0.000, 0.500, 0.750) and Hg at (0.000, 0.500, 0.250).

The calculation puts the raw total energy at -14.3 eV/f.u. The volume comes out at 89.8 Å³/f.u.

---

Computed, not measured: a relaxed TaTl3Hg crystal at the PBE level of DFT.

The space group is Pm-3m (No. 221) and the conventional cell measures 5.571, 5.571 and 5.571 Å, with angles of 90.00, 90.00 and 90.00 degrees. Symmetry generates all atoms from Ta at (0.000, 0.000, 0.000), Tl at (0.000, 0.000, 0.500) and Hg at (0.500, 0.500, 0.500).

The calculation puts the raw total energy at -15.9 eV/f.u. The volume comes out at 172.9 Å³/f.u.

---

no.,formation energy from the elements (eV/f.u.)
1,1.66
2,3.60
3,7.04
4,10.21
5,2.14
6,2.32
7,2.07
8,3.36
9,1.69
10,2.08
11,2.54
12,3.33